1.
A relaxed structure of Tc2SbBr, computed with PBE-GGA.

extended XYZ file:
```
4
Lattice="-3.036 -4.410 1.831 -0.102 -4.976 2.692 -0.914 1.418 4.048" Properties=species:S:1:pos:R:3 pbc="T T T"
Sb -2.986 -5.654 6.460
Tc -0.027 -0.065 0.048
Tc -1.122 -2.364 2.269
Br -1.943 -3.868 4.081
```

Results
excess energy over the best structure of this formula in the dataset: 0.462 eV per atom
total energy: -6.07 eV per atom
symmetry: No. 8

2.
A relaxed structure of ErSiNi, computed with PBE-GGA.

extended XYZ file:
```
12
Lattice="4.141 0.000 0.000 0.000 6.801 0.000 0.000 0.000 7.122" Properties=species:S:1:pos:R:3 pbc="T T T"
Ni 1.035 4.681 6.535
Ni 3.105 2.121 0.587
Ni 1.035 1.280 4.148
Ni 3.105 5.522 2.974
Si 1.035 2.097 6.495
Si 3.105 4.704 0.627
Si 1.035 5.498 4.188
Si 3.105 1.303 2.934
Er 3.105 0.063 5.687
Er 1.035 6.739 1.435
Er 3.105 3.463 4.996
Er 1.035 3.338 2.126
```

Results
total energy: -6.09 eV per atom
symmetry: No. 62

3.
A relaxed structure of AcMg2Zn2Ga, computed with PBE-GGA.

extended XYZ file:
```
6
Lattice="-1.620 -3.225 3.564 4.635 -0.054 2.058 -2.974 6.154 0.609" Properties=species:S:1:pos:R:3 pbc="T T T"
Ac 1.508 -1.639 2.811
Mg 1.585 2.231 2.739
Mg -1.543 0.645 3.492
Zn 0.635 1.049 4.846
Zn -0.593 1.827 1.384
Ga 0.000 0.000 0.000
```

Results
total energy: -2.19 eV per atom
symmetry: No. 139
formation energy from the elements: -45.9 meV per atom

4.
A relaxed structure of Nd2CuPd, computed with PBE-GGA.

extended XYZ file:
```
4
Lattice="4.622 0.000 0.000 0.000 3.645 -1.381 0.000 0.099 5.759" Properties=species:S:1:pos:R:3 pbc="T T T"
Nd 0.000 3.691 4.241
Nd 2.311 1.012 2.669
Cu 2.311 2.013 -0.189
Pd 0.000 2.591 1.336
```

Results
total energy: -5.20 eV per atom
symmetry: No. 38
formation energy from the elements: -492.3 meV per atom

5.
A relaxed structure of Tl4Cd5Hg2, computed with PBE-GGA.

extended XYZ file:
```
11
Lattice="-2.714 -2.010 0.791 0.641 -3.548 -6.818 6.868 -7.281 5.057" Properties=species:S:1:pos:R:3 pbc="T T T"
Tl 2.897 -7.538 -1.617
Tl 4.932 -8.131 3.859
Tl 1.899 -5.301 0.647
Tl -0.137 -4.708 -4.829
Cd 2.280 -4.039 -2.442
Cd 1.276 -1.940 -0.551
Cd 0.320 -1.774 -3.409
Cd 6.233 -8.890 -1.211
Cd 5.229 -6.790 0.681
Hg 4.438 -4.878 2.827
Hg 3.071 -5.951 -4.588
```

Results
total energy: -1.29 eV per atom
symmetry: No. 10
formation energy from the elements: 40.4 meV per atom

6.
A relaxed structure of MgSe2Br, computed with PBE-GGA.

extended XYZ file:
```
4
Lattice="-2.465 -1.765 0.022 0.635 -0.285 2.951 -6.600 9.246 2.313" Properties=species:S:1:pos:R:3 pbc="T T T"
Br -2.565 1.287 2.064
Mg -5.865 5.910 3.221
Se -6.027 8.444 2.112
Se -3.873 5.426 1.357
```

Results
excess energy over the best structure of this formula in the dataset: 0.432 eV per atom
total energy: -2.79 eV per atom
symmetry: No. 65

Copy entry 3 word for word.
A relaxed structure of AcMg2Zn2Ga, computed with PBE-GGA.

extended XYZ file:
```
6
Lattice="-1.620 -3.225 3.564 4.635 -0.054 2.058 -2.974 6.154 0.609" Properties=species:S:1:pos:R:3 pbc="T T T"
Ac 1.508 -1.639 2.811
Mg 1.585 2.231 2.739
Mg -1.543 0.645 3.492
Zn 0.635 1.049 4.846
Zn -0.593 1.827 1.384
Ga 0.000 0.000 0.000
```

Results
total energy: -2.19 eV per atom
symmetry: No. 139
formation energy from the elements: -45.9 meV per atom